VASP calculation (PBE) on a relaxed PrY3N crystal.

Cell lengths 5.013, 5.013, 5.013 Å; angles 90.00, 90.00, 90.00 degrees
Space group Pm-3m (No. 221)
Symmetry-distinct sites (fractional):
1 Pr 0.000 0.000 0.000 x1
2 Y 0.000 0.500 0.500 x3
3 N 0.500 0.500 0.500 x1

Calculated values
- V: 125.98 Å³ per cell
- Formation energy without anion corrections: -480.1 meV/atom
- Size of the total moment: 0.9 μB/f.u.